## K6BiH3Cl8F4 (SCAN)

Data for K6BiH3Cl8F4 at its PBEsol-relaxed geometry.

POSCAR file:
```
K6BiH3Cl8F4
1.0
-3.705 -8.256 -0.289
9.007 0.920 0.075
-0.072 -0.471 14.403
Cl F H K Bi
16 8 6 12 2
direct
0.142 0.858 0.612
0.284 0.142 0.112
0.859 0.141 0.397
0.333 0.667 0.397
0.716 0.858 0.612
0.282 0.141 0.397
0.142 0.284 0.612
0.667 0.333 0.611
0.333 0.667 0.111
0.667 0.333 0.897
0.141 0.282 0.897
0.141 0.859 0.897
0.858 0.142 0.112
0.718 0.859 0.897
0.859 0.718 0.397
0.858 0.716 0.112
0.333 0.667 0.752
0.969 0.484 0.258
0.516 0.031 0.258
0.667 0.333 0.252
0.484 0.969 0.758
0.516 0.484 0.258
0.031 0.516 0.758
0.484 0.516 0.758
0.161 0.580 0.755
0.420 0.839 0.755
0.839 0.420 0.255
0.580 0.161 0.255
0.420 0.580 0.755
0.580 0.420 0.255
0.642 0.821 0.254
0.500 0.000 0.502
0.179 0.821 0.254
0.179 0.358 0.254
0.500 0.000 0.002
0.821 0.179 0.754
0.000 0.500 0.002
0.358 0.179 0.754
0.500 0.500 0.002
0.821 0.642 0.754
0.500 0.500 0.502
0.000 0.500 0.502
0.000 0.000 0.505
0.000 0.000 0.005
```

Output
Space-group type: No. 186
E_tot (eV per atom): -11.806